(1)
SrNiGe2Rh | Alexandria | PBE | relaxed; symmetry = I-4m2; ΔH_f (0 K) = -0.607 eV/atom; raw total energy = -5.42 eV per atom
1.0
-2.103 2.103 5.356
2.103 -2.103 5.356
2.103 2.103 -5.356
Sr Ni Ge Rh
1 1 2 1
direct
0.000 0.000 0.000
0.750 0.250 0.500
0.366 0.366 0.000
0.634 0.634 0.000
0.250 0.750 0.500



(2)
Cs4TlBr6 | Alexandria | PBE | relaxed; formation energy (no corrections) = -1446.7 meV/atom; symmetry = P4/mnc; raw total energy = -2.88 eV per atom
1.0
9.911 0.000 0.000
0.000 9.911 0.000
0.000 0.000 10.013
Cs Tl Br
8 2 12
direct
0.166 0.334 0.250
0.166 0.334 0.750
0.334 0.834 0.250
0.334 0.834 0.750
0.666 0.166 0.250
0.666 0.166 0.750
0.834 0.666 0.250
0.834 0.666 0.750
0.000 0.000 0.000
0.500 0.500 0.500
0.000 0.000 0.296
0.000 0.000 0.704
0.101 0.697 0.000
0.197 0.601 0.500
0.303 0.101 0.000
0.399 0.197 0.500
0.500 0.500 0.204
0.500 0.500 0.796
0.601 0.803 0.500
0.697 0.899 0.000
0.803 0.399 0.500
0.899 0.303 0.000



(3)
Nd3Al11 | Alexandria | PBE | relaxed; symmetry = Immm; ΔH_f (0 K) = -0.375 eV/atom; raw total energy = -4.34 eV per atom
1.0
-2.193 5.004 6.518
2.193 -5.004 6.518
2.193 5.004 -6.518
Nd Al
3 11
direct
0.000 0.000 0.000
0.317 0.317 0.000
0.683 0.683 0.000
0.034 0.666 0.369
0.138 0.863 0.275
0.285 0.500 0.785
0.297 0.666 0.631
0.412 0.137 0.275
0.500 0.000 0.500
0.588 0.863 0.725
0.703 0.334 0.369
0.715 0.500 0.215
0.862 0.137 0.725
0.966 0.334 0.631



(4)
CePu2Fe | Alexandria | PBE | relaxed; symmetry = P4/mmm; E above lowest polymorph = 0 meV/atom; ΔH_f (0 K) = 0.086 eV/atom; raw total energy = -10.68 eV per atom
1.0
3.407 0.000 0.000
0.000 3.407 0.000
0.000 0.000 7.179
Ce Pu Fe
1 2 1
direct
0.000 0.000 0.000
0.500 0.500 0.288
0.500 0.500 0.712
0.000 0.000 0.500



(5)
AlIn3 | Alexandria | PBE | relaxed; symmetry = I4/mmm; ΔH_f (0 K) = 0.132 eV/atom; raw total energy = -2.86 eV per atom
1.0
-2.340 2.340 4.518
2.340 -2.340 4.518
2.340 2.340 -4.518
Al In
1 3
direct
0.000 0.000 0.000
0.250 0.750 0.500
0.500 0.500 0.000
0.750 0.250 0.500



(6)
Li2CoSb | Alexandria | PBE | relaxed; formation energy (no corrections) = 34.7 meV/atom; symmetry = P4/mmm; raw total energy = -3.73 eV per atom
1.0
3.523 0.000 0.000
0.000 3.523 0.000
0.000 0.000 5.127
Li Co Sb
2 1 1
direct
0.000 0.000 0.230
0.000 0.000 0.770
0.500 0.500 0.000
0.500 0.500 0.500



(7)
AcLa5Zn4 | Alexandria | PBE | relaxed; symmetry = P4/mmm; ΔH_f (0 K) = -0.248 eV/atom; raw total energy = -3.63 eV per atom
1.0
3.789 0.000 0.000
0.000 3.789 0.000
0.000 0.000 20.456
Ac La Zn
1 5 4
direct
0.000 0.000 0.000
0.500 0.500 0.137
0.500 0.500 0.318
0.500 0.500 0.500
0.500 0.500 0.682
0.500 0.500 0.863
0.000 0.000 0.226
0.000 0.000 0.408
0.000 0.000 0.592
0.000 0.000 0.774



(8)
CsLi2CeCl8 | Alexandria | PBE | relaxed; formation energy (no corrections) = -1705.1 meV/atom; symmetry = P-1; raw total energy = -3.82 eV per atom
1.0
5.672 0.000 0.000
2.498 6.764 0.000
2.236 -0.521 9.213
Cs Li Ce Cl
1 2 1 8
direct
0.000 0.000 0.000
0.333 0.407 0.741
0.667 0.593 0.259
0.000 0.000 0.500
0.064 0.296 0.620
0.254 0.489 0.997
0.301 0.731 0.638
0.380 0.944 0.262
0.620 0.056 0.738
0.699 0.269 0.362
0.746 0.511 0.003
0.936 0.704 0.380



(9)
KYMg3 | Alexandria | PBE | relaxed; symmetry = Pm-3m; E above lowest polymorph = 275 meV/atom; ΔH_f (0 K) = 0.936 eV/atom; raw total energy = -1.53 eV per atom
1.0
5.510 0.000 0.000
0.000 5.510 0.000
0.000 0.000 5.510
K Y Mg
1 1 3
direct
0.000 0.000 0.000
0.500 0.500 0.500
0.000 0.000 0.500
0.000 0.500 0.000
0.500 0.000 0.000



(10)
Ac2SiPt2 | Alexandria | PBE | relaxed; formation energy (no corrections) = -1043.1 meV/atom; symmetry = C2/m; raw total energy = -6.19 eV per atom
1.0
5.858 -2.143 0.000
5.858 2.143 0.000
-4.839 0.000 10.316
Ac Si Pt
4 2 4
direct
0.094 0.094 0.403
0.304 0.304 0.859
0.696 0.696 0.141
0.906 0.906 0.597
0.426 0.426 0.179
0.574 0.574 0.821
0.041 0.041 0.901
0.366 0.366 0.369
0.634 0.634 0.631
0.959 0.959 0.099



(11)
La6Rh2NCl3 | Alexandria | PBE | relaxed; formation energy (no corrections) = -1322.6 meV/atom; symmetry = C2/m; raw total energy = -6.17 eV per atom
1.0
3.490 -6.051 0.000
3.490 6.051 0.000
-2.330 0.000 7.557
La Rh N Cl
6 2 1 3
direct
0.067 0.377 0.199
0.241 0.241 0.800
0.377 0.067 0.199
0.623 0.933 0.801
0.759 0.759 0.200
0.933 0.623 0.801
0.334 0.666 0.000
0.666 0.334 0.000
0.000 0.000 0.000
0.171 0.829 0.500
0.500 0.500 0.500
0.829 0.171 0.500



(12)
PmErCuIr | Alexandria | PBE | relaxed; symmetry = Amm2; E above lowest polymorph = 0 meV/atom; ΔH_f (0 K) = -0.545 eV/atom; raw total energy = -6.11 eV per atom
1.0
4.331 0.000 0.000
0.000 1.936 5.266
0.000 -1.936 5.266
Pm Er Cu Ir
1 1 1 1
direct
0.000 0.000 0.000
0.500 0.722 0.722
0.500 0.429 0.429
0.000 0.279 0.279



(13)
CdSn | Alexandria | PBE | relaxed; symmetry = Pmma; ΔH_f (0 K) = 0.059 eV/atom; raw total energy = -2.40 eV per atom
1.0
9.206 0.000 0.000
0.000 3.579 0.000
0.000 0.000 3.171
Cd Sn
2 2
direct
0.000 0.000 0.000
0.500 0.000 0.000
0.250 0.500 0.332
0.750 0.500 0.668



(14)
LiTm3Sn3 | Alexandria | PBE | relaxed; symmetry = C2/m; E above lowest polymorph = 0 meV/atom; ΔH_f (0 K) = -0.608 eV/atom; raw total energy = -4.51 eV per atom
1.0
5.625 -2.258 0.000
5.625 2.258 0.000
-4.567 0.000 13.732
Li Tm Sn
2 6 6
direct
0.238 0.238 0.397
0.762 0.762 0.603
0.260 0.260 0.777
0.408 0.408 0.082
0.466 0.466 0.615
0.534 0.534 0.385
0.592 0.592 0.918
0.740 0.740 0.223
0.026 0.026 0.237
0.134 0.134 0.074
0.139 0.139 0.553
0.861 0.861 0.447
0.866 0.866 0.926
0.974 0.974 0.763



(15)
Pm6GeAs3P2 | Alexandria | PBE | relaxed; symmetry = C2/m; ΔH_f (0 K) = -1.385 eV/atom; raw total energy = -6.21 eV per atom
1.0
9.141 -2.098 0.000
9.141 2.098 0.000
-1.888 0.000 8.221
Pm Ge As P
6 1 3 2
direct
0.002 0.002 0.255
0.331 0.331 0.420
0.332 0.332 0.909
0.668 0.668 0.091
0.669 0.669 0.580
0.998 0.998 0.745
0.500 0.500 0.000
0.166 0.166 0.834
0.500 0.500 0.500
0.834 0.834 0.166
0.167 0.167 0.335
0.833 0.833 0.665



(16)
Ca2HfN | Alexandria | PBE | relaxed; formation energy (no corrections) = -260.4 meV/atom; symmetry = I-42d; raw total energy = -5.83 eV per atom
1.0
-4.892 4.892 2.101
4.892 -4.892 2.101
4.892 4.892 -2.101
Ca Hf N
4 2 2
direct
0.375 0.030 0.155
0.780 0.625 0.655
0.875 0.220 0.845
0.970 0.125 0.345
0.250 0.750 0.500
0.500 0.500 0.000
0.000 0.000 0.000
0.750 0.250 0.500



In the order shown, the computed DOS at the Fermi energy values come out to 0.825 0.477 0.239 2.926 0.411 0.723 1.326 0.128 1.264 0.557 0.634 0.770 0.345 0.550 0.387 1.196 states/eV per atom.